The following is a GGA-PBE calculation of an optimized crystal structure of SbHWI2, from Alexandria.

Calculated values
- Energy: -3.708 eV/atom
- Fermi-level density of states: 0.809 states/eV per atom

Cell lengths 5.648, 5.648, 5.218 Å; angles 90.00, 90.00, 90.00 degrees
Space group P4/mmm (No. 123)
Inequivalent atoms, fractional coordinates:
Sb 0.000 0.000 0.000 x1
H 0.500 0.500 0.000 x1
W 0.000 0.000 0.500 x1
I 0.000 0.500 0.500 x2

The following is a GGA-PBE calculation of an optimized crystal structure of SbHWI2, from Alexandria.

Calculated values
- Energy: -3.393 eV/atom
- Fermi-level density of states: 0.564 states/eV per atom

Cell lengths 5.349, 5.349, 3.812 Å; angles 90.00, 90.00, 90.00 degrees
Space group P4/mmm (No. 123)
Inequivalent atoms, fractional coordinates:
Sb 0.000 0.000 0.000 x1
H 0.000 0.000 0.500 x1
W 0.500 0.500 0.000 x1
I 0.000 0.500 0.500 x2

The following is a GGA-PBE calculation of an optimized crystal structure of ZrSb2HI, from Alexandria.

Calculated values
- Energy: -3.839 eV/atom
- Fermi-level density of states: 0.916 states/eV per atom

Cell lengths 5.584, 5.584, 5.877 Å; angles 90.00, 90.00, 90.00 degrees
Space group P4/mmm (No. 123)
Inequivalent atoms, fractional coordinates:
Zr 0.000 0.000 0.000 x1
Sb 0.000 0.500 0.000 x2
H 0.500 0.500 0.500 x1
I 0.000 0.000 0.500 x1

The following is a GGA-PBE calculation of an optimized crystal structure of ZrSb2HI, from Alexandria.

Calculated values
- Energy: -4.016 eV/atom
- Fermi-level density of states: 0.647 states/eV per atom

Cell lengths 4.443, 4.443, 5.626 Å; angles 90.00, 90.00, 90.00 degrees
Space group P4/mmm (No. 123)
Inequivalent atoms, fractional coordinates:
Zr 0.000 0.000 0.000 x1
Sb 0.000 0.500 0.500 x2
H 0.500 0.500 0.500 x1
I 0.500 0.500 0.000 x1

The following is a GGA-PBE calculation of an optimized crystal structure of ScH3I, from Alexandria.

Calculated values
- Energy: -2.552 eV/atom
- Fermi-level density of states: 0.994 states/eV per atom

Cell lengths 4.138, 4.138, 4.138 Å; angles 90.00, 90.00, 90.00 degrees
Space group Pm-3m (No. 221)
Inequivalent atoms, fractional coordinates:
Sc 0.000 0.000 0.000 x1
H 0.000 0.500 0.500 x3
I 0.500 0.500 0.500 x1

The following is a GGA-PBE calculation of an optimized crystal structure of Sc2HI, from Alexandria.

Calculated values
- Energy: -4.248 eV/atom
- Fermi-level density of states: 0.679 states/eV per atom

Cell lengths 6.748, 6.748, 6.748 Å; angles 90.00, 90.00, 90.00 degrees
Space group Fm-3m (No. 225)
Inequivalent atoms, fractional coordinates:
Sc 0.250 0.250 0.250 x8
H 0.000 0.000 0.000 x4
I 0.000 0.000 0.500 x4

The following is a GGA-PBE calculation of an optimized crystal structure of ScH2I, from Alexandria.

Calculated values
- Energy: -4.073 eV/atom
- Fermi-level density of states: 0.000 states/eV per atom

Cell lengths 4.596, 4.596, 12.276 Å; angles 90.00, 90.00, 90.00 degrees
Space group I4_1/amd (No. 141, origin choice 2)
Inequivalent atoms, fractional coordinates:
Sc 0.000 0.250 0.375 x4
H 0.000 0.000 0.500 x8
I 0.000 0.250 0.875 x4

The following is a GGA-PBE calculation of an optimized crystal structure of ScHI2, from Alexandria.

Calculated values
- Energy: -3.358 eV/atom
- Fermi-level density of states: 0.076 states/eV per atom

Cell lengths 7.187, 7.187, 7.187 Å; angles 90.00, 90.00, 90.00 degrees
Space group Fm-3m (No. 225)
Inequivalent atoms, fractional coordinates:
Sc 0.000 0.000 0.000 x4
H 0.000 0.000 0.500 x4
I 0.250 0.250 0.250 x8

The following is a GGA-PBE calculation of an optimized crystal structure of Sc2HI, from Alexandria.

Calculated values
- Energy: -4.965 eV/atom
- Fermi-level density of states: 0.454 states/eV per atom

Cell lengths 3.722, 11.033, 4.139 Å; angles 90.00, 90.00, 90.00 degrees
Space group Pmn2_1 (No. 31)
Inequivalent atoms, fractional coordinates:
Sc 0.000 0.063 0.000 x2
Sc 0.000 0.776 0.000 x2
H 0.000 0.915 0.713 x2
I 0.000 0.349 0.995 x2

The following is a GGA-PBE calculation of an optimized crystal structure of ScH3I, from Alexandria.

Calculated values
- Energy: -3.579 eV/atom
- Fermi-level density of states: 0.696 states/eV per atom

Cell lengths 4.001, 4.001, 4.001 Å; angles 90.00, 90.00, 90.00 degrees
Space group Pm-3m (No. 221)
Inequivalent atoms, fractional coordinates:
Sc 0.000 0.000 0.000 x1
H 0.000 0.000 0.500 x3
I 0.500 0.500 0.500 x1

The following is a GGA-PBE calculation of an optimized crystal structure of ScH2I, from Alexandria.

Calculated values
- Energy: -4.314 eV/atom

Cell lengths 3.569, 5.601, 7.835 Å; angles 90.00, 102.74, 90.00 degrees
Space group P2_1/m (No. 11)
Inequivalent atoms, fractional coordinates:
Sc 0.244 0.250 0.487 x2
H 0.287 0.578 0.575 x4
I 0.107 0.750 0.204 x2

The following is a GGA-PBE calculation of an optimized crystal structure of ScHI2, from Alexandria.

Calculated values
- Energy: -3.283 eV/atom
- Fermi-level density of states: 0.504 states/eV per atom

Cell lengths 6.365, 6.365, 11.800 Å; angles 90.00, 90.00, 90.00 degrees
Space group I-42d (No. 122)
Inequivalent atoms, fractional coordinates:
Sc 0.000 0.000 0.000 x4
H 0.000 0.000 0.500 x4
I 0.222 0.250 0.625 x8

Q: Which of these has the highest energy?
A: number 5